Entry 1:
A relaxed structure of CaLaZr2, computed with PBE.

a = 3.362 Å, b = 3.362 Å, c = 10.551 Å
α = 90.00°, β = 90.00°, γ = 89.99°
Element x y z (fractional)
1 Ca 0.000 0.000 0.478
2 Zr 0.000 0.000 0.025
3 Zr 0.500 0.500 0.218
4 La 0.500 0.500 0.780

Values from the calculation:
ΔE_f	0.17	eV/atom
DOS at the Fermi energy	5.93	states/eV/f.u.
energy above the lowest structure with this stoichiometry	0.000	eV/atom

---

Entry 2:
A relaxed structure of FeHg2As, computed with PBE.

a = 5.596 Å, b = 5.596 Å, c = 5.596 Å
α = 137.73°, β = 137.73°, γ = 61.32°
Site moments in Bohr magnetons follow the coordinates.
Element x y z (fractional)
1 As 0.250 0.750 0.500  0.02
2 Fe 0.750 0.250 0.500  2.95
3 Hg 0.000 0.000 0.000  -0.02
4 Hg 0.500 0.500 0.000  -0.02

Values from the calculation:
ΔE_f	0.53	eV/atom
DOS at the Fermi energy	4.61	states/eV/f.u.

---

Entry 3:
A relaxed structure of ZnAg2Sb, computed with PBE.

a = 4.507 Å, b = 4.507 Å, c = 5.443 Å
α = 65.54°, β = 65.54°, γ = 60.00°
Element x y z (fractional)
1 Zn 0.681 0.681 0.956
2 Ag 0.063 0.063 0.812
3 Ag 0.272 0.272 0.185
4 Sb 0.485 0.485 0.546

Values from the calculation:
E_form (uncorrected)	2.3	kcal/mol of atoms
DOS at the Fermi energy	1.85	states/eV/f.u.
energy above the lowest structure with this stoichiometry	0.028	eV/atom

---

Entry 4:
A relaxed structure of Co2RhBr, computed with PBE.

a = 4.109 Å, b = 3.734 Å, c = 3.734 Å
α = 90.00°, β = 90.00°, γ = 90.00°
Site moments in Bohr magnetons follow the coordinates.
Element x y z (fractional)
1 Br 0.500 0.000 0.500  0.13
2 Co 0.000 0.000 0.000  1.91
3 Co 0.000 0.500 0.500  1.91
4 Rh 0.500 0.500 0.000  0.47

Values from the calculation:
E_form (uncorrected)	17.7	kcal/mol of atoms
DOS at the Fermi energy	6.25	states/eV/f.u.
energy above the lowest structure with this stoichiometry	0.344	eV/atom

---

Entry 5:
A relaxed structure of Sm4Al3Tl, computed with PBE.

a = 3.705 Å, b = 3.705 Å, c = 15.144 Å
α = 90.00°, β = 90.00°, γ = 90.00°
Element x y z (fractional)
1 Tl 0.500 0.500 0.000
2 Al 0.500 0.500 0.259
3 Al 0.500 0.500 0.500
4 Al 0.500 0.500 0.741
5 Sm 0.000 0.000 0.863
6 Sm 0.000 0.000 0.137
7 Sm 0.000 0.000 0.380
8 Sm 0.000 0.000 0.620

Values from the calculation:
ΔE_f	-0.37	eV/atom
DOS at the Fermi energy	3.63	states/eV/f.u.
energy above the lowest structure with this stoichiometry	0.000	eV/atom

---

Entry 6:
A relaxed structure of Ce2TmAl, computed with PBE.

a = 5.009 Å, b = 4.506 Å, c = 4.506 Å
α = 90.00°, β = 90.00°, γ = 90.00°
Site moments in Bohr magnetons follow the coordinates.
Element x y z (fractional)
1 Tm 0.500 0.500 0.500  0.07
2 Al 0.500 0.000 0.000  -0.01
3 Ce 0.000 0.000 0.500  0.50
4 Ce 0.000 0.500 0.000  0.50

Values from the calculation:
ΔE_f	-0.15	eV/atom
DOS at the Fermi energy	8.83	states/eV/f.u.
energy above the lowest structure with this stoichiometry	0.026	eV/atom

---

Entry 7:
A relaxed structure of AgH8Pd6, computed with PBE.

a = 5.259 Å, b = 5.259 Å, c = 5.259 Å
α = 99.08°, β = 99.08°, γ = 99.08°
Element x y z (fractional)
1 Ag 0.000 0.000 0.000
2 H 0.253 0.253 0.253
3 H 0.747 0.747 0.747
4 H 0.178 0.459 0.626
5 H 0.626 0.178 0.459
6 H 0.459 0.626 0.178
7 H 0.822 0.541 0.374
8 H 0.374 0.822 0.541
9 H 0.541 0.374 0.822
10 Pd 0.571 0.283 0.140
11 Pd 0.140 0.571 0.283
12 Pd 0.283 0.140 0.571
13 Pd 0.429 0.717 0.860
14 Pd 0.860 0.429 0.717
15 Pd 0.717 0.860 0.429

Values from the calculation:
total DFT energy (no corrections)	-4.08	eV/atom
DOS at the Fermi energy	3.90	states/eV/f.u.

---

Entry 8:
A relaxed structure of ZnInI3, computed with PBE.

a = 5.933 Å, b = 5.933 Å, c = 5.933 Å
α = 90.00°, β = 90.00°, γ = 90.00°
Element x y z (fractional)
1 I 0.000 0.500 0.000
2 I 0.000 0.000 0.500
3 I 0.500 0.000 0.000
4 Zn 0.500 0.500 0.500
5 In 0.000 0.000 0.000

Values from the calculation:
E_form (uncorrected)	-1.4	kcal/mol of atoms
DOS at the Fermi energy	3.04	states/eV/f.u.
energy above the lowest structure with this stoichiometry	0.462	eV/atom

---

Entry 9:
A relaxed structure of PtSeS, computed with PBE.

a = 3.657 Å, b = 6.539 Å, c = 6.341 Å
α = 99.10°, β = 90.00°, γ = 106.24°
Element x y z (fractional)
1 Pt 0.000 0.000 0.000
2 Pt 0.500 0.000 0.500
3 Se 0.388 0.776 0.129
4 Se 0.612 0.224 0.871
5 S 0.093 0.187 0.362
6 S 0.907 0.813 0.638

Values from the calculation:
E_form (uncorrected)	-8.7	kcal/mol of atoms
energy above the lowest structure with this stoichiometry	0.000	eV/atom

---

Entry 10:
A relaxed structure of Li2CdCl, computed with PBE.

a = 3.147 Å, b = 3.146 Å, c = 7.724 Å
α = 90.00°, β = 90.00°, γ = 90.00°
Element x y z (fractional)
1 Cd 0.500 0.500 0.250
2 Cl 0.500 0.500 0.750
3 Li 0.000 0.000 0.948
4 Li 0.000 0.000 0.552

Values from the calculation:
E_form (uncorrected)	-18.4	kcal/mol of atoms
DOS at the Fermi energy	0.95	states/eV/f.u.
energy above the lowest structure with this stoichiometry	0.075	eV/atom

---

Entry 11:
A relaxed structure of Rb4P3Pd3S12, computed with PBE.

a = 12.230 Å, b = 12.230 Å, c = 12.230 Å
α = 90.00°, β = 90.00°, γ = 90.00°
Site moments in Bohr magnetons follow the coordinates.
Element x y z (fractional)
1 Rb 0.750 0.250 0.750  0.00
2 Rb 0.250 0.750 0.250  0.00
3 Rb 0.750 0.750 0.250  0.00
4 Rb 0.250 0.250 0.750  0.00
5 Rb 0.250 0.750 0.750  0.00
6 Rb 0.750 0.250 0.250  0.00
7 Rb 0.250 0.250 0.250  0.00
8 Rb 0.750 0.750 0.750  0.00
9 P 0.000 0.500 0.750  0.00
10 P 0.500 0.250 0.000  0.00
11 P 0.750 0.000 0.500  0.00
12 P 0.000 0.500 0.250  0.00
13 P 0.500 0.750 0.000  0.00
14 P 0.250 0.000 0.500  0.00
15 Pd 0.000 0.500 0.500  0.17
16 Pd 0.500 0.500 0.000  0.17
17 Pd 0.500 0.000 0.500  0.17
18 Pd 0.500 0.000 0.000  0.17
19 Pd 0.000 0.500 0.000  0.17
20 Pd 0.000 0.000 0.500  0.17
21 S 0.000 0.369 0.645  0.03
22 S 0.631 0.355 0.000  0.03
23 S 0.645 0.000 0.631  0.03
24 S 0.000 0.631 0.355  0.03
25 S 0.369 0.645 0.000  0.03
26 S 0.355 0.000 0.369  0.03
27 S 0.631 0.645 0.000  0.03
28 S 0.645 0.000 0.369  0.03
29 S 0.369 0.355 0.000  0.03
30 S 0.355 0.000 0.631  0.03
31 S 0.000 0.631 0.645  0.03
32 S 0.000 0.369 0.355  0.03
33 S 0.500 0.145 0.869  0.03
34 S 0.131 0.500 0.855  0.03
35 S 0.145 0.131 0.500  0.03
36 S 0.500 0.855 0.131  0.03
37 S 0.869 0.500 0.145  0.03
38 S 0.855 0.869 0.500  0.03
39 S 0.131 0.500 0.145  0.03
40 S 0.145 0.869 0.500  0.03
41 S 0.869 0.500 0.855  0.03
42 S 0.855 0.131 0.500  0.03
43 S 0.500 0.145 0.131  0.03
44 S 0.500 0.855 0.869  0.03

Values from the calculation:
E_form (uncorrected)	-14.6	kcal/mol of atoms
DOS at the Fermi energy	8.74	states/eV/f.u.

---

Entry 12:
A relaxed structure of NaAg6Pd2, computed with PBE.

a = 8.364 Å, b = 8.364 Å, c = 8.364 Å
α = 60.00°, β = 60.00°, γ = 60.00°
Element x y z (fractional)
1 Na 0.500 0.500 0.500
2 Na 0.750 0.750 0.750
3 Ag 0.264 0.264 0.736
4 Ag 0.736 0.736 0.264
5 Ag 0.264 0.736 0.264
6 Ag 0.264 0.736 0.736
7 Ag 0.514 0.514 0.986
8 Ag 0.514 0.986 0.986
9 Ag 0.736 0.264 0.736
10 Ag 0.986 0.986 0.514
11 Ag 0.514 0.986 0.514
12 Ag 0.986 0.514 0.514
13 Ag 0.736 0.264 0.264
14 Ag 0.986 0.514 0.986
15 Pd 0.125 0.125 0.125
16 Pd 0.125 0.625 0.125
17 Pd 0.125 0.125 0.625
18 Pd 0.625 0.125 0.125

Values from the calculation:
ΔE_f	0.45	eV/atom
DOS at the Fermi energy	3.14	states/eV/f.u.
energy above the lowest structure with this stoichiometry	0.367	eV/atom